{"formula": "Y2ScAl3CuGe2", "functional": "PBE-GGA", "state": "optimized geometry", "cell": [[-3.852, 1.043, -1.015], [-0.748, -6.014, -3.340], [-1.657, 0.409, 6.706]], "species": ["Ge", "Y", "Ge", "Al", "Sc", "Cu", "Al", "Al", "Y"], "frac_coords": [[0.500, 0.336, 0.656], [0.000, 0.594, 0.998], [0.500, 0.656, 0.336], [0.500, 0.002, 0.234], [0.000, 0.401, 0.401], [0.000, 0.012, 0.012], [0.500, 0.234, 0.002], [0.500, 0.767, 0.767], [0.000, 0.998, 0.594]], "dft_energy_ev_per_atom": -5.480, "crystal_system": "orthorhombic", "sg": "Amm2"}

=====

{"formula": "PrCuSn2Pt", "functional": "PBE-GGA", "state": "optimized geometry", "cell": [[-3.952, -1.313, -1.666], [-1.426, -0.965, 4.142], [-3.856, 10.255, 1.063]], "species": ["Sn", "Pt", "Pt", "Cu", "Pr", "Pr", "Sn", "Sn", "Sn", "Cu"], "frac_coords": [[0.000, 0.000, 0.500], [0.500, 0.000, 0.363], [0.000, 0.500, 0.637], [0.000, 0.000, 0.000], [0.500, 0.000, 0.761], [0.000, 0.500, 0.239], [0.000, 0.500, 0.876], [0.500, 0.000, 0.124], [0.500, 0.500, 0.500], [0.500, 0.500, 0.000]], "dft_energy_ev_per_atom": -5.171, "crystal_system": "tetragonal", "sg": "P4/nmm"}

=====

{"formula": "Sr2Gd", "functional": "PBE-GGA", "state": "optimized geometry", "cell": [[4.845, 8.015, 5.569], [9.216, 4.441, -3.750], [-0.054, 10.165, -3.924]], "species": ["Sr", "Sr", "Sr", "Gd", "Gd", "Sr"], "frac_coords": [[0.375, 0.375, 0.875], [0.375, 0.375, 0.375], [0.375, 0.875, 0.375], [0.250, 0.250, 0.250], [0.500, 0.500, 0.500], [0.875, 0.375, 0.375]], "dft_energy_ev_per_atom": -0.882, "crystal_system": "cubic", "sg": "Fd-3m", "de_polymorph_mev_per_atom": 1308}

=====

{"formula": "Zr2Mo4Au3C3", "functional": "PBE-GGA", "state": "optimized geometry", "cell": [[4.787, -2.767, 0.000], [4.787, 2.767, 0.000], [-3.232, 0.000, 13.570]], "species": ["Mo", "C", "Au", "Mo", "Au", "Au", "Mo", "C", "C", "Zr", "Au", "C", "Mo", "Au", "Zr", "C", "Zr", "Mo", "Mo", "Mo", "Au", "Zr", "Mo", "C"], "frac_coords": [[0.983, 0.799, 0.925], [0.665, 0.170, 0.000], [0.415, 0.166, 0.249], [0.149, 0.308, 0.425], [0.834, 0.585, 0.251], [0.003, 0.997, 0.750], [0.017, 0.201, 0.075], [0.170, 0.665, 0.500], [0.335, 0.830, 0.000], [0.626, 0.463, 0.893], [0.166, 0.415, 0.749], [0.500, 0.000, 0.500], [0.692, 0.851, 0.075], [0.585, 0.834, 0.751], [0.374, 0.537, 0.107], [0.000, 0.500, 0.000], [0.463, 0.626, 0.393], [0.851, 0.692, 0.575], [0.201, 0.017, 0.575], [0.308, 0.149, 0.925], [0.997, 0.003, 0.250], [0.537, 0.374, 0.607], [0.799, 0.983, 0.425], [0.830, 0.335, 0.500]], "dft_energy_ev_per_atom": -8.470, "crystal_system": "monoclinic", "sg": "C2/c"}

=====

{"formula": "CoBW2", "functional": "PBE-GGA", "state": "optimized geometry", "cell": [[-2.082, -2.183, 0.352], [1.040, 0.674, -2.773], [9.301, -8.645, 1.389]], "species": ["Co", "B", "B", "W", "W", "W", "W", "Co"], "frac_coords": [[0.667, 0.333, 0.250], [0.000, 0.000, 0.500], [0.000, 0.000, 0.000], [0.333, 0.667, 0.099], [0.667, 0.333, 0.901], [0.333, 0.667, 0.401], [0.667, 0.333, 0.599], [0.333, 0.667, 0.750]], "dft_energy_ev_per_atom": -9.836, "crystal_system": "hexagonal", "sg": "P6_3/mmc"}

=====

{"formula": "InCuMoIr", "functional": "PBE-GGA", "state": "optimized geometry", "cell": [[0.000, 3.161, 3.161], [3.161, 0.000, 3.161], [3.161, 3.161, 0.000]], "species": ["Mo", "Cu", "In", "Ir"], "frac_coords": [[0.500, 0.500, 0.500], [0.750, 0.750, 0.750], [0.000, 0.000, 0.000], [0.250, 0.250, 0.250]], "dft_energy_ev_per_atom": -6.385, "crystal_system": "cubic", "sg": "F-43m", "de_polymorph_mev_per_atom": 0}

=====

Q: What is the formula in the fourth record?
A: Zr2Mo4Au3C3

=====

What did the first record say?
{"formula": "Y2ScAl3CuGe2", "functional": "PBE-GGA", "state": "optimized geometry", "cell": [[-3.852, 1.043, -1.015], [-0.748, -6.014, -3.340], [-1.657, 0.409, 6.706]], "species": ["Ge", "Y", "Ge", "Al", "Sc", "Cu", "Al", "Al", "Y"], "frac_coords": [[0.500, 0.336, 0.656], [0.000, 0.594, 0.998], [0.500, 0.656, 0.336], [0.500, 0.002, 0.234], [0.000, 0.401, 0.401], [0.000, 0.012, 0.012], [0.500, 0.234, 0.002], [0.500, 0.767, 0.767], [0.000, 0.998, 0.594]], "dft_energy_ev_per_atom": -5.480, "crystal_system": "orthorhombic", "sg": "Amm2"}